Entry from Alexandria via LeMat-Bulk: crystalline As2PtCl at its relaxed geometry (PBE-GGA).

```
data_As2PtCl
_space_group_name_H-M_alt 'I m m 2'
_space_group_IT_number 44
_space_group_name_Hall 'I 2 -2'
_cell_length_a 3.555
_cell_length_b 3.712
_cell_length_c 13.767
_cell_angle_alpha 90.00
_cell_angle_beta 90.00
_cell_angle_gamma 90.00
loop_
_atom_site_label
_atom_site_type_symbol
_atom_site_fract_x
_atom_site_fract_y
_atom_site_fract_z
As1 As 0.000 0.000 0.000
As2 As 0.000 0.500 0.340
Pt1 Pt 0.000 0.500 0.873
Cl1 Cl 0.000 0.000 0.609
```

## Properties
E above lowest polymorph   111.9 kJ/mol of formula units
Total moment   0.0 Bohr magnetons per cell
N(E_F)   2.905 states/eV per cell
Uncorrected formation energy   -0.0643 eV/atom
ρ   6.96 g cm⁻³

=====

Entry from Alexandria via LeMat-Bulk: crystalline CeHoHgRu at its relaxed geometry (PBE-GGA).

```
data_CeHoHgRu
_space_group_name_H-M_alt 'P 4 m m'
_space_group_IT_number 99
_space_group_name_Hall 'P 4 -2'
_cell_length_a 3.389
_cell_length_b 3.389
_cell_length_c 8.037
_cell_angle_alpha 90.00
_cell_angle_beta 90.00
_cell_angle_gamma 90.00
loop_
_atom_site_label
_atom_site_type_symbol
_atom_site_fract_x
_atom_site_fract_y
_atom_site_fract_z
Ce1 Ce 0.000 0.000 0.000
Ho1 Ho 0.000 0.000 0.570
Hg1 Hg 0.500 0.500 0.299
Ru1 Ru 0.500 0.500 0.784
```

## Properties
E above lowest polymorph   0.0 kJ/mol of formula units
Total moment   0.0 Bohr magnetons per cell
N(E_F)   5.502 states/eV per cell
ρ   10.91 g cm⁻³

=====

Entry from Alexandria via LeMat-Bulk: crystalline Nb2Fe6W at its relaxed geometry (PBE-GGA).

```
data_Nb2Fe6W
_space_group_name_H-M_alt 'P -3 m 1'
_space_group_IT_number 164
_space_group_name_Hall '-P 3 2"'
_cell_length_a 5.0514
_cell_length_b 5.0514
_cell_length_c 5.4647
_cell_angle_alpha 90.00
_cell_angle_beta 90.00
_cell_angle_gamma 120.00
loop_
_atom_site_label
_atom_site_type_symbol
_atom_site_fract_x
_atom_site_fract_y
_atom_site_fract_z
Nb1 Nb 0.3333 0.6667 0.3625
Fe1 Fe 0.1785 0.3570 0.8375
W1 W 0.0000 0.0000 0.5000
```

## Properties
VASP energy   -0.339 hartree per atom
Total moment   7.3 Bohr magnetons per cell
N(E_F)   12.653 states/eV per cell
ρ   9.69 g cm⁻³

=====

- Which formula does entry 2 have?
  CeHoHgRu

=====

- What is the total moment in the second record?
  0.0 Bohr magnetons per cell

=====

- Which of these has the highest N(E_F)?
  Nb2Fe6W

=====

- ρ of number 2 (CeHoHgRu)?
  10.91 g cm⁻³